1.
Below is a geometry-optimized Rb2Tl6In2Hg structure, with properties calculated at the PBE-GGA level.

Output
Magnetic moment (μB/f.u.): 0.0
Energy of formation (eV/f.u.): 0.29

a = 8.2585 Å, b = 8.2585 Å, c = 23.0260 Å
α = 90.00°, β = 90.00°, γ = 120.00°
Space group R-3m (No. 166, hexagonal axes)
Symmetry-distinct sites (fractional):
1 Rb 0.0000 0.0000 0.2262 [6 per cell]
2 Tl 0.0702 0.5351 0.2917 [18 per cell]
3 In 0.0000 0.0000 0.0689 [6 per cell]
4 Hg 0.0000 0.0000 0.5000 [3 per cell]

=====

2.
Below is a geometry-optimized Rb2TlInHg6 structure, with properties calculated at the PBE-GGA level.

Output
Magnetic moment (μB/f.u.): 0.0
Energy of formation (eV/f.u.): -0.60

a = 11.8689 Å, b = 11.5432 Å, c = 7.4816 Å
α = 90.00°, β = 129.06°, γ = 90.00°
Space group C2/m (No. 12)
Symmetry-distinct sites (fractional):
1 Rb 0.0000 0.2499 0.0000 [4 per cell]
2 Tl 0.0000 0.0000 0.5000 [2 per cell]
3 In 0.0000 0.5000 0.5000 [2 per cell]
4 Hg 0.0000 0.2527 0.5000 [4 per cell]
5 Hg 0.2469 0.5000 0.4993 [4 per cell]
6 Hg 0.2479 0.5000 0.9940 [4 per cell]

=====

3.
Below is a geometry-optimized Rb2TlIn3Hg4 structure, with properties calculated at the PBE-GGA level.

Output
Magnetic moment (μB/f.u.): 0.0
Energy of formation (eV/f.u.): -1.24

a = 5.1252 Å, b = 5.1252 Å, c = 12.4973 Å
α = 90.00°, β = 90.00°, γ = 90.00°
Space group P-4m2 (No. 115)
Symmetry-distinct sites (fractional):
1 Rb 0.0000 0.5000 0.2445 [2 per cell]
2 Tl 0.0000 0.0000 0.5000 [1 per cell]
3 In 0.0000 0.5000 0.8770 [2 per cell]
4 In 0.5000 0.5000 0.5000 [1 per cell]
5 Hg 0.0000 0.0000 0.0000 [1 per cell]
6 Hg 0.0000 0.5000 0.6407 [2 per cell]
7 Hg 0.5000 0.5000 0.0000 [1 per cell]

=====

4.
Below is a geometry-optimized Rb2ZnInHg structure, with properties calculated at the PBE-GGA level.

Output
Magnetic moment (μB/f.u.): 0.0
Energy of formation (eV/f.u.): 0.34

a = 7.2357 Å, b = 7.2357 Å, c = 5.1618 Å
α = 90.00°, β = 90.00°, γ = 90.00°
Space group P4/mmm (No. 123)
Symmetry-distinct sites (fractional):
1 Rb 0.0000 0.5000 0.0000 [2 per cell]
2 Zn 0.0000 0.0000 0.0000 [1 per cell]
3 In 0.0000 0.0000 0.5000 [1 per cell]
4 Hg 0.5000 0.5000 0.5000 [1 per cell]